# VBPb2O5

An optimized crystal structure of VBPb2O5 (PBE with a Hubbard U, the Alexandria database).

Results
**Calculated total energy**: -6.727 eV/atom
**Space group**: Cmc2_1, No. 36
**Size of the total moment**: 2.0 μB/f.u.
**Crystal system**: orthorhombic

Lattice parameters (Å, degrees): 6.8766 6.8766 11.7930 90.00 90.00 153.23
Sites, in units of the cell vectors:
1 V 0.1734 0.8266 0.5000
2 V 0.8266 0.1734 0.0000
3 B 0.4491 0.5509 0.8742
4 B 0.5509 0.4491 0.3742
5 Pb 0.1118 0.8882 0.0897
6 Pb 0.1464 0.8536 0.7840
7 Pb 0.8536 0.1464 0.2840
8 Pb 0.8882 0.1118 0.5897
9 O 0.0249 0.9751 0.4537
10 O 0.3149 0.6851 0.1110
11 O 0.3216 0.6784 0.4700
12 O 0.3460 0.6540 0.8821
13 O 0.4909 0.5091 0.2813
14 O 0.5091 0.4909 0.7813
15 O 0.6540 0.3460 0.3821
16 O 0.6784 0.3216 0.9700
17 O 0.6851 0.3149 0.6110
18 O 0.9751 0.0249 0.9537